1.
DFT (PBE) results for LiCa2AgHg2 after structural relaxation.

## Properties
Symmetry: Ibam
Calculated formation energy in eV/atom: -0.380
Density of states at the Fermi level in states/eV/f.u.: 3.5

a = 6.2648 Å, b = 6.2974 Å, c = 8.8638 Å
α = 110.81°, β = 110.69°, γ = 90.00°
Closest atoms and distances in Å follow each position.
Positions (direct):
Hg (0.3942, 0.6219, 0.2437)  2 Li 2.83, 2 Ag 2.98
Hg (0.8495, 0.1219, 0.2437)  2 Li 2.83, 2 Ag 2.98
Hg (0.1505, 0.8781, 0.7563)  2 Li 2.83, 2 Ag 2.98
Hg (0.6058, 0.3781, 0.7563)  2 Li 2.83, 2 Ag 2.98
Ag (0.0000, 0.2500, 0.0000)  4 Hg 2.98, 2 Li 3.13, 2 Ag 3.15
Ag (0.0000, 0.7500, 0.0000)  4 Hg 2.98, 2 Li 3.13, 2 Ag 3.15
Ca (0.0617, 0.3318, 0.6635)  5 Hg 3.20-3.24, 2 Ag 3.35, 2 Li 3.46
Ca (0.9383, 0.6682, 0.3365)  5 Hg 3.20-3.24, 2 Ag 3.35, 2 Li 3.46
Ca (0.6019, 0.8318, 0.6635)  5 Hg 3.20-3.24, 2 Ag 3.35, 2 Li 3.46
Ca (0.3981, 0.1682, 0.3365)  5 Hg 3.20-3.24, 2 Ag 3.35, 2 Li 3.46
Li (0.5000, 0.7500, 0.0000)  4 Hg 2.83, 2 Ag 3.13, 2 Li 3.15
Li (0.5000, 0.2500, 0.0000)  4 Hg 2.83, 2 Ag 3.13, 2 Li 3.15

2.
DFT (PBE) results for Li2CaAg2Hg2 after structural relaxation.

## Properties
Symmetry: R-3m
Calculated formation energy in eV/atom: -0.280
Density of states at the Fermi level in states/eV/f.u.: 2.2

a = 4.7889 Å, b = 4.7889 Å, c = 7.9482 Å
α = 72.47°, β = 72.47°, γ = 60.00°
Closest atoms and distances in Å follow each position.
Positions (direct):
Li (0.1421, 0.1421, 0.5736)  1 Hg 2.69, 3 Ag 2.91, 3 Li 2.97
Li (0.8579, 0.8579, 0.4264)  1 Hg 2.69, 3 Ag 2.91, 3 Li 2.97
Ag (0.5646, 0.5646, 0.3061)  3 Hg 2.85, 1 Ag 2.89, 3 Li 2.91
Ag (0.4354, 0.4354, 0.6939)  3 Hg 2.85, 1 Ag 2.89, 3 Li 2.91
Hg (0.7375, 0.7375, 0.7875)  1 Li 2.69, 3 Ag 2.85
Hg (0.2625, 0.2625, 0.2125)  1 Li 2.69, 3 Ag 2.85
Ca (0.0000, 0.0000, 0.0000)  2 Li 3.18, 6 Hg 3.19

3.
DFT (PBE) results for CaMg2AgHg4 after structural relaxation.

## Properties
Symmetry: R-3m
Calculated formation energy in eV/atom: -0.247
Density of states at the Fermi level in states/eV/f.u.: 1.9

a = 4.8966 Å, b = 4.8966 Å, c = 9.2652 Å
α = 74.68°, β = 74.68°, γ = 60.00°
Closest atoms and distances in Å follow each position.
Positions (direct):
Hg (0.1243, 0.1243, 0.6272)  4 Mg 2.94-3.06, 3 Ag 3.04, 1 Ca 3.29
Hg (0.6144, 0.6144, 0.1567)  1 Ag 3.03, 3 Mg 3.03, 3 Ca 3.15
Hg (0.8757, 0.8757, 0.3728)  4 Mg 2.94-3.06, 3 Ag 3.04, 1 Ca 3.29
Hg (0.3856, 0.3856, 0.8433)  1 Ag 3.03, 3 Mg 3.03, 3 Ca 3.15
Mg (0.7601, 0.7601, 0.7198)  7 Hg 2.94-3.06
Mg (0.2399, 0.2399, 0.2802)  7 Hg 2.94-3.06
Ca (0.0000, 0.0000, 0.0000)  8 Hg 3.15-3.29
Ag (0.5000, 0.5000, 0.5000)  8 Hg 3.03-3.04

4.
DFT (PBE) results for CaMg2Ag2Hg2 after structural relaxation.

## Properties
Symmetry: R-3m
Calculated formation energy in eV/atom: -0.229
Density of states at the Fermi level in states/eV/f.u.: 3.2

a = 4.7788 Å, b = 4.7788 Å, c = 8.4517 Å
α = 73.58°, β = 73.58°, γ = 60.00°
Closest atoms and distances in Å follow each position.
Positions (direct):
Mg (0.8613, 0.8613, 0.4160)  3 Ag 2.87, 1 Hg 3.02, 3 Mg 3.07
Mg (0.1387, 0.1387, 0.5840)  3 Ag 2.87, 1 Hg 3.02, 3 Mg 3.07
Hg (0.2648, 0.2648, 0.2055)  3 Ag 2.90, 4 Mg 3.02-3.23, 3 Ca 3.21
Hg (0.7352, 0.7352, 0.7945)  3 Ag 2.90, 4 Mg 3.02-3.23, 3 Ca 3.21
Ca (0.0000, 0.0000, 0.0000)  6 Hg 3.21, 2 Mg 3.32
Ag (0.4394, 0.4394, 0.6817)  3 Mg 2.87, 3 Hg 2.90, 1 Ag 2.90
Ag (0.5606, 0.5606, 0.3183)  3 Mg 2.87, 3 Hg 2.90, 1 Ag 2.90

5.
DFT (PBE) results for Ca3Mg2Ag2Hg4 after structural relaxation.

## Properties
Symmetry: P-3m1
Calculated formation energy in eV/atom: -0.315
Density of states at the Fermi level in states/eV/f.u.: 6.7

a = 4.9144 Å, b = 4.9144 Å, c = 13.6630 Å
α = 90.00°, β = 90.00°, γ = 120.00°
Closest atoms and distances in Å follow each position.
Positions (direct):
Ag (0.3333, 0.6667, 0.1388)  4 Hg 2.84-3.13
Ag (0.6667, 0.3333, 0.8612)  4 Hg 2.84-3.13
Hg (0.6667, 0.3333, 0.6319)  4 Mg 2.81-2.95, 1 Ag 3.13
Hg (0.3333, 0.6667, 0.8680)  3 Ag 2.84
Hg (0.6667, 0.3333, 0.1320)  3 Ag 2.84
Hg (0.3333, 0.6667, 0.3681)  4 Mg 2.81-2.95, 1 Ag 3.13
Ca (0.0000, 0.0000, 0.0000)  6 Hg 3.36, 6 Ag 3.41, 2 Ca 3.62
Ca (0.0000, 0.0000, 0.2651)  6 Hg 3.17-3.37, 3 Ag 3.32
Ca (0.0000, 0.0000, 0.7349)  6 Hg 3.17-3.37, 3 Ag 3.32
Mg (0.3333, 0.6667, 0.5736)  4 Hg 2.81-2.95
Mg (0.6667, 0.3333, 0.4264)  4 Hg 2.81-2.95

6.
DFT (PBE) results for CaMg2AgHg2 after structural relaxation.

## Properties
Symmetry: P-3m1
Calculated formation energy in eV/atom: -0.333
Density of states at the Fermi level in states/eV/f.u.: 1.7

a = 4.8640 Å, b = 4.8640 Å, c = 6.6513 Å
α = 90.00°, β = 90.00°, γ = 120.00°
Closest atoms and distances in Å follow each position.
Positions (direct):
Hg (0.6667, 0.3333, 0.7735)  4 Mg 2.90, 3 Ca 3.19
Hg (0.3333, 0.6667, 0.2265)  4 Mg 2.90, 3 Ca 3.19
Mg (0.6667, 0.3333, 0.3372)  4 Hg 2.90, 3 Ag 3.01
Mg (0.3333, 0.6667, 0.6628)  4 Hg 2.90, 3 Ag 3.01
Ag (0.0000, 0.0000, 0.5000)  6 Mg 3.01, 2 Ca 3.33, 6 Hg 3.35
Ca (0.0000, 0.0000, 0.0000)  6 Hg 3.19, 2 Ag 3.33